A relaxed structure of CsTi4Pd2, computed with PBE.

Summary:
Total magnetic moment ... 0.00 μB/f.u.
DOS(E_F) ... 1.4406 states/eV/atom
ΔE_f ... 1244 meV per atom

Unit cell a=4.890 b=4.890 c=7.333 alpha=70.52 beta=70.52 gamma=90.00
Fractional positions:
1 Cs 0.000 0.000 0.000
2 Pd 0.609 0.609 0.782
3 Pd 0.391 0.391 0.218
4 Ti 0.793 0.793 0.414
5 Ti 0.207 0.207 0.586
6 Ti 0.000 0.500 0.000
7 Ti 0.500 0.000 0.000